Record 1
This record from the Alexandria database describes an optimized crystal structure of Ge4Rh. The functional is GGA-PBEsol.

## Properties
Its calculated formation energy is -23.6 kJ per mole of atoms. The density is 7.645 Mg/m³.

Lattice parameters (Å, degrees): 6.165 6.165 7.791 90.00 90.00 120.00
Fractional coordinates of all 15 atoms:
Ge: 0.919 0.919 0.667
Ge: 0.081 0.000 0.000
Ge: 0.000 0.081 0.333
Ge: 0.383 0.383 0.667
Ge: 0.617 0.000 0.000
Ge: 0.000 0.617 0.333
Ge: 0.736 0.512 0.888
Ge: 0.488 0.224 0.221
Ge: 0.776 0.264 0.555
Ge: 0.264 0.776 0.779
Ge: 0.224 0.488 0.112
Ge: 0.512 0.736 0.445
Rh: 0.685 0.685 0.167
Rh: 0.315 0.000 0.500
Rh: 0.000 0.315 0.833

Record 2
This record from the Alexandria database describes an optimized crystal structure of Ni2HIrRh. The functional is GGA-PBEsol.

## Properties
The electronic total energy is -22.9 eV per cell. The density is 7.489 Mg/m³.

Lattice parameters (Å, degrees): 4.471 4.471 4.587 90.00 90.00 90.00
Each line ends with the local moment (μB).
Fractional coordinates of all 5 atoms:
Ni: 0.000 0.500 0.000  0.81
Ni: 0.500 0.000 0.000  0.81
Ir: 0.000 0.000 0.500  0.05
Rh: 0.000 0.000 0.000  0.48
H: 0.500 0.500 0.500  0.12

Q: Among the records above, which one has the lowest density?
A: Ni2HIrRh